Entry 1:
Entry from Alexandria via LeMat-Bulk: an optimized crystal structure of ScPd2Au2 (PBE).

Unit cell a=9.226 b=4.053 c=9.192 alpha=90.00 beta=90.55 gamma=90.00
Space group C2/m (No. 12)
Asymmetric unit:
Sc: 0.244 0.000 0.244 [4 per cell]
Pd: 0.048 0.500 0.349 [4 per cell]
Pd: 0.148 0.500 0.052 [4 per cell]
Au: 0.054 0.000 0.853 [4 per cell]
Au: 0.149 0.000 0.549 [4 per cell]

## Properties
The calculation puts the density of states at the Fermi level at 0.511 states/eV per atom. The calculation puts the calculated formation energy at -0.6194 eV/atom. The calculation puts the polymorph energy (0 for the lowest one) at 0 meV per atom.

Entry 2:
Entry from Alexandria via LeMat-Bulk: an optimized crystal structure of ScPd3Au (PBE).

Unit cell a=4.710 b=4.710 c=4.710 alpha=90.00 beta=90.00 gamma=90.00
Space group Pm-3m (No. 221)
Asymmetric unit:
Sc: 0.000 0.000 0.000 [1 per cell]
Pd: 0.000 0.000 0.500 [3 per cell]
Au: 0.500 0.500 0.500 [1 per cell]

## Properties
The calculation puts the density of states at the Fermi level at 0.289 states/eV per atom. The calculation puts the calculated formation energy at 0.3977 eV/atom. The calculation puts the polymorph energy (0 for the lowest one) at 848 meV per atom.

Entry 3:
Entry from Alexandria via LeMat-Bulk: an optimized crystal structure of Sc2Pd6Au (PBE).

Unit cell a=4.644 b=7.712 c=8.678 alpha=90.00 beta=90.00 gamma=90.00
Space group Immm (No. 71)
Asymmetric unit:
Sc: 0.000 0.000 0.183 [4 per cell]
Pd: 0.000 0.295 0.000 [4 per cell]
Pd: 0.000 0.313 0.337 [8 per cell]
Au: 0.000 0.000 0.500 [2 per cell]

## Properties
The calculation puts the density of states at the Fermi level at 0.409 states/eV per atom. The calculation puts the calculated formation energy at -0.5416 eV/atom. The calculation puts the polymorph energy (0 for the lowest one) at 4 meV per atom.

Entry 4:
Entry from Alexandria via LeMat-Bulk: an optimized crystal structure of Sc2Pd7Au3 (PBE).

Unit cell a=5.836 b=7.806 c=9.205 alpha=90.00 beta=108.41 gamma=90.00
Space group C2/m (No. 12)
Asymmetric unit:
Sc: 0.164 0.000 0.327 [4 per cell]
Pd: 0.000 0.000 0.000 [2 per cell]
Pd: 0.000 0.250 0.500 [4 per cell]
Pd: 0.166 0.250 0.832 [8 per cell]
Au: 0.000 0.500 0.000 [2 per cell]
Au: 0.167 0.500 0.333 [4 per cell]

## Properties
The calculation puts the density of states at the Fermi level at 0.470 states/eV per atom. The calculation puts the calculated formation energy at -0.5634 eV/atom.

Entry 5:
Entry from Alexandria via LeMat-Bulk: an optimized crystal structure of ScPd3Au (PBE).

Unit cell a=4.651 b=6.979 c=5.507 alpha=90.00 beta=90.71 gamma=90.00
Space group P2_1/m (No. 11)
Asymmetric unit:
Sc: 0.184 0.250 0.265 [2 per cell]
Pd: 0.158 0.061 0.746 [4 per cell]
Pd: 0.341 0.750 0.495 [2 per cell]
Au: 0.337 0.750 0.021 [2 per cell]

## Properties
The calculation puts the density of states at the Fermi level at 0.390 states/eV per atom. The calculation puts the calculated formation energy at -0.4498 eV/atom. The calculation puts the polymorph energy (0 for the lowest one) at 0 meV per atom.

Entry 6:
Entry from Alexandria via LeMat-Bulk: an optimized crystal structure of ScPd7Au4 (PBE).

Unit cell a=10.013 b=4.886 c=10.010 alpha=90.00 beta=119.28 gamma=90.00
Space group C2/m (No. 12)
Asymmetric unit:
Sc: 0.000 0.000 0.000 [2 per cell]
Pd: 0.000 0.500 0.000 [2 per cell]
Pd: 0.114 0.000 0.460 [4 per cell]
Pd: 0.158 0.500 0.619 [4 per cell]
Pd: 0.222 0.500 0.919 [4 per cell]
Au: 0.083 0.500 0.309 [4 per cell]
Au: 0.183 0.000 0.772 [4 per cell]

## Properties
The calculation puts the density of states at the Fermi level at 0.561 states/eV per atom. The calculation puts the calculated formation energy at -0.1029 eV/atom. The calculation puts the polymorph energy (0 for the lowest one) at 239 meV per atom.

Entry 7:
Entry from Alexandria via LeMat-Bulk: an optimized crystal structure of Sc2PdAu2 (PBE).

Unit cell a=7.446 b=7.446 c=3.514 alpha=90.00 beta=90.00 gamma=90.00
Space group P4/mbm (No. 127)
Asymmetric unit:
Sc: 0.171 0.329 0.000 [4 per cell]
Pd: 0.000 0.000 0.500 [2 per cell]
Au: 0.133 0.633 0.500 [4 per cell]

## Properties
The calculation puts the density of states at the Fermi level at 0.974 states/eV per atom. The calculation puts the calculated formation energy at -0.7120 eV/atom. The calculation puts the polymorph energy (0 for the lowest one) at 0 meV per atom.

Entry 8:
Entry from Alexandria via LeMat-Bulk: an optimized crystal structure of ScPd5Au (PBE).

Unit cell a=9.358 b=5.084 c=10.126 alpha=90.00 beta=97.53 gamma=90.00
Space group C2/c (No. 15)
Asymmetric unit:
Sc: 0.000 0.225 0.250 [4 per cell]
Pd: 0.000 0.265 0.750 [4 per cell]
Pd: 0.151 0.017 0.549 [8 per cell]
Pd: 0.238 0.476 0.185 [8 per cell]
Au: 0.000 0.500 0.000 [4 per cell]

## Properties
The calculation puts the density of states at the Fermi level at 0.650 states/eV per atom. The calculation puts the calculated formation energy at -0.3305 eV/atom.